No. 1
The following is a DFT calculation (PBE) of Cs2NbTlCl6 after structural relaxation.

Values from the calculation:
Crystal system: trigonal
Uncorrected formation energy: -1478 meV/atom
Calculated density: 3.45 Mg/m³

Lattice parameters (Å, degrees): 7.5767 7.5767 45.0662 90.00 90.00 120.00
Space group R-3m (No. 166, hexagonal axes)
Unique sites:
Cs  0.0000  0.0000  0.1380 (multiplicity 6)
Cs  0.0000  0.0000  0.3052 (multiplicity 6)
Nb  0.0000  0.0000  0.0000 (multiplicity 3)
Nb  0.0000  0.0000  0.5000 (multiplicity 3)
Tl  0.0000  0.0000  0.4145 (multiplicity 6)
Cl  0.0205  0.5103  0.1341 (multiplicity 18)
Cl  0.0225  0.5112  0.6990 (multiplicity 18)

No. 2
The following is a DFT calculation (PBE) of TaBePt2 after structural relaxation.

Values from the calculation:
Crystal system: tetragonal
Calculated density: 16.30 Mg/m³
Formation energy from the elements: -10.43 kcal/mol of atoms

Lattice parameters (Å, degrees): 3.860 3.860 7.934 90.00 90.00 90.00
Space group I-4m2 (No. 119)
Unique sites:
Ta  0.000  0.000  0.000 (multiplicity 2)
Be  0.000  0.500  0.750 (multiplicity 2)
Pt  0.000  0.000  0.500 (multiplicity 2)
Pt  0.000  0.500  0.250 (multiplicity 2)